1.
K2Rb4CdAu2, optimized geometry, DFT GGA-PBE; mass density = 3.03 g cm⁻³; volume = 56.38 Å³ per atom; DOS at the Fermi energy = 4.99 states/eV/cell; space-group type = P-1, No. 2; energy of formation = -0.13 eV/atom
1.0
6.800 0.000 0.000
1.827 7.989 0.000
2.637 0.081 9.341
K Rb Cd Au
2 4 1 2
Direct
0.048 0.360 0.210
0.952 0.640 0.790
0.275 0.813 0.111
0.435 0.261 0.513
0.565 0.739 0.487
0.725 0.187 0.889
0.000 0.000 0.500
0.096 0.643 0.444
0.904 0.357 0.556


2.
YAl4, optimized geometry, DFT GGA-PBE; mass density = 2.25 g cm⁻³; volume = 29.10 Å³ per atom; DOS at the Fermi energy = 6.04 states/eV/cell; space-group type = Im-3m, No. 229; energy of formation = 0.68 eV/atom
1.0
-3.313 3.313 3.313
3.313 -3.313 3.313
3.313 3.313 -3.313
Y Al
1 4
Direct
0.000 0.000 0.000
0.000 0.000 0.500
0.000 0.500 0.000
0.500 0.000 0.000
0.500 0.500 0.500


3.
Sm2HoGa6, optimized geometry, DFT GGA-PBE; mass density = 7.53 g cm⁻³; distance to the lowest polymorph of the same formula = 0 meV per atom; volume = 21.67 Å³ per atom; DOS at the Fermi energy = 5.73 states/eV/cell; space-group type = P6/mmm, No. 191; energy of formation = -0.66 eV/atom
1.0
7.333 0.000 0.000
-3.667 6.351 0.000
0.000 0.000 4.187
Sm Ho Ga
2 1 6
Direct
0.333 0.667 0.000
0.667 0.333 0.000
0.000 0.000 0.000
0.000 0.332 0.500
0.000 0.668 0.500
0.332 0.000 0.500
0.332 0.332 0.500
0.668 0.000 0.500
0.668 0.668 0.500


4.
Nb6GaIr, optimized geometry, DFT GGA-PBE; mass density = 9.75 g cm⁻³; volume = 17.44 Å³ per atom; DOS at the Fermi energy = 7.84 states/eV/cell; space-group type = R-3, No. 148; energy of formation = -0.33 eV/atom
1.0
3.667 2.117 2.995
-3.667 2.117 2.995
0.000 -4.235 2.995
Nb Ga Ir
6 1 1
Direct
0.000 0.253 0.501
0.000 0.747 0.499
0.253 0.501 0.000
0.499 0.000 0.747
0.501 0.000 0.253
0.747 0.499 0.000
0.000 0.000 0.000
0.500 0.500 0.500


5.
ThHgPdPb, optimized geometry, DFT GGA-PBE; mass density = 12.74 g cm⁻³; volume = 24.31 Å³ per atom; DOS at the Fermi energy = 0.84 states/eV/cell; space-group type = F-43m, No. 216; energy of formation = -0.39 eV/atom
1.0
0.000 3.650 3.650
3.650 0.000 3.650
3.650 3.650 0.000
Th Hg Pd Pb
1 1 1 1
Direct
0.000 0.000 0.000
0.250 0.250 0.250
0.750 0.750 0.750
0.500 0.500 0.500


6.
TlTeAu2Se4, optimized geometry, DFT GGA-PBE; mass density = 7.05 g cm⁻³; E_form (uncorrected) = -0.01 eV per formula unit; volume = 30.66 Å³ per atom; DOS at the Fermi energy = 4.52 states/eV/cell; space-group type = I222, No. 23
1.0
-3.353 4.059 4.506
3.353 -4.059 4.506
3.353 4.059 -4.506
Tl Te Au Se
1 1 2 4
Direct
0.000 0.000 0.000
0.500 0.500 0.000
0.326 0.826 0.500
0.674 0.174 0.500
0.131 0.109 0.587
0.478 0.891 0.022
0.522 0.544 0.413
0.869 0.456 0.978


7.
ZrS2I, optimized geometry, DFT GGA-PBE; mass density = 4.56 g cm⁻³; E_form (uncorrected) = 1.54 eV per formula unit; distance to the lowest polymorph of the same formula = 1427 meV per atom; volume = 25.68 Å³ per atom; DOS at the Fermi energy = 3.42 states/eV/cell; space-group type = R-3m, No. 166
1.0
1.788 1.032 9.277
-1.788 1.032 9.277
0.000 -2.064 9.277
Zr S I
1 2 1
Direct
0.000 0.000 0.000
0.086 0.086 0.086
0.914 0.914 0.914
0.500 0.500 0.500


8.
MnCdHgTeBr, optimized geometry, DFT GGA-PBE; mass density = 6.57 g cm⁻³; E_form (uncorrected) = -0.64 eV per formula unit; distance to the lowest polymorph of the same formula = 92 meV per atom; volume = 29.08 Å³ per atom; DOS at the Fermi energy = 2.26 states/eV/cell; space-group type = P1, No. 1
1.0
4.104 0.000 0.000
2.052 3.555 0.000
1.962 1.176 9.968
Mn Cd Hg Te Br
1 1 1 1 1
Direct
0.000 0.000 0.000
0.559 0.552 0.347
0.715 0.719 0.842
0.285 0.282 0.154
0.841 0.831 0.511


9.
LaMgGa, optimized geometry, DFT GGA-PBE; mass density = 5.01 g cm⁻³; volume = 25.72 Å³ per atom; DOS at the Fermi energy = 4.48 states/eV/cell; space-group type = Cm, No. 8; energy of formation = -0.31 eV/atom
1.0
5.692 -2.219 0.000
5.692 2.219 0.000
-0.292 0.000 6.110
La Mg Ga
2 2 2
Direct
0.000 0.000 0.000
0.600 0.600 0.472
0.290 0.290 0.752
0.886 0.886 0.480
0.300 0.300 0.228
0.702 0.702 0.993


10.
YNi2Ag, optimized geometry, DFT GGA-PBE; mass density = 7.85 g cm⁻³; distance to the lowest polymorph of the same formula = 29 meV per atom; volume = 16.61 Å³ per atom; DOS at the Fermi energy = 3.11 states/eV/cell; space-group type = Fm-3m, No. 225; energy of formation = -0.13 eV/atom
1.0
0.000 3.215 3.215
3.215 0.000 3.215
3.215 3.215 0.000
Y Ni Ag
1 2 1
Direct
0.000 0.000 0.000
0.250 0.250 0.250
0.750 0.750 0.750
0.500 0.500 0.500


11.
ScSiAs, optimized geometry, DFT GGA-PBE; mass density = 4.66 g cm⁻³; E_form (uncorrected) = -1.26 eV per formula unit; volume = 17.56 Å³ per atom; DOS at the Fermi energy = 3.14 states/eV/cell; space-group type = I4mm, No. 107
1.0
-1.715 1.715 4.480
1.715 -1.715 4.480
1.715 1.715 -4.480
Sc Si As
1 1 1
Direct
0.000 0.000 0.000
0.677 0.677 0.000
0.331 0.331 0.000


12.
PrAg2Bi, optimized geometry, DFT GGA-PBE; mass density = 9.24 g cm⁻³; volume = 25.41 Å³ per atom; DOS at the Fermi energy = 2.15 states/eV/cell; space-group type = P4/mmm, No. 123; energy of formation = -0.31 eV/atom
1.0
4.563 0.000 0.000
0.000 4.563 0.000
0.000 0.000 4.881
Pr Ag Bi
1 2 1
Direct
0.000 0.000 0.000
0.000 0.500 0.500
0.500 0.000 0.500
0.500 0.500 0.000


13.
Hf6CuN4, optimized geometry, DFT GGA-PBE; mass density = 13.18 g cm⁻³; E_form (uncorrected) = -14.95 eV per formula unit; volume = 13.63 Å³ per atom; DOS at the Fermi energy = 8.78 states/eV/cell; space-group type = Cmcm, No. 63
1.0
1.635 -5.437 0.000
1.635 5.437 0.000
0.000 0.000 16.871
Hf Cu N
12 2 8
Direct
0.000 0.000 0.000
0.000 0.000 0.500
0.155 0.845 0.750
0.275 0.725 0.080
0.275 0.725 0.420
0.463 0.537 0.653
0.463 0.537 0.847
0.537 0.463 0.153
0.537 0.463 0.347
0.725 0.275 0.580
0.725 0.275 0.920
0.845 0.155 0.250
0.157 0.843 0.250
0.843 0.157 0.750
0.095 0.905 0.621
0.095 0.905 0.879
0.362 0.638 0.539
0.362 0.638 0.961
0.638 0.362 0.039
0.638 0.362 0.461
0.905 0.095 0.121
0.905 0.095 0.379


14.
CdPCl2, optimized geometry, DFT GGA-PBE; mass density = 4.29 g cm⁻³; E_form (uncorrected) = 1.40 eV per formula unit; distance to the lowest polymorph of the same formula = 745 meV per atom; volume = 20.72 Å³ per atom; DOS at the Fermi energy = 3.02 states/eV/cell; space-group type = P4/mmm, No. 123
1.0
4.555 0.000 0.000
0.000 4.555 0.000
0.000 0.000 3.995
Cd P Cl
1 1 2
Direct
0.000 0.000 0.000
0.500 0.500 0.000
0.000 0.500 0.500
0.500 0.000 0.500


15.
Li2CuPt, optimized geometry, DFT GGA-PBE; mass density = 8.32 g cm⁻³; distance to the lowest polymorph of the same formula = 70 meV per atom; volume = 13.60 Å³ per atom; DOS at the Fermi energy = 1.33 states/eV/cell; space-group type = Pm, No. 6; energy of formation = -0.31 eV/atom
1.0
2.667 0.000 0.000
0.000 4.074 0.000
-1.161 0.000 5.007
Li Cu Pt
2 1 1
Direct
0.000 0.000 0.000
0.376 0.500 0.261
0.492 0.500 0.743
0.922 0.000 0.499


16.
La2AgHg, optimized geometry, DFT GGA-PBE; mass density = 8.40 g cm⁻³; volume = 28.99 Å³ per atom; DOS at the Fermi energy = 4.49 states/eV/cell; space-group type = P4/mmm, No. 123; energy of formation = -0.38 eV/atom
1.0
3.867 0.000 0.000
0.000 3.867 0.000
0.000 0.000 7.754
La Ag Hg
2 1 1
Direct
0.000 0.000 0.243
0.000 0.000 0.757
0.500 0.500 0.000
0.500 0.500 0.500


17.
Lu2PtS, optimized geometry, DFT GGA-PBE; mass density = 10.62 g cm⁻³; E_form (uncorrected) = -2.92 eV per formula unit; volume = 22.57 Å³ per atom; DOS at the Fermi energy = 2.91 states/eV/cell; space-group type = R-3m, No. 166
1.0
1.733 1.001 8.672
-1.733 1.001 8.672
0.000 -2.002 8.672
Lu Pt S
2 1 1
Direct
0.100 0.100 0.100
0.900 0.900 0.900
0.000 0.000 0.000
0.500 0.500 0.500


18.
Fe2AgOsBr, optimized geometry, DFT GGA-PBE; mass density = 7.37 g cm⁻³; E_form (uncorrected) = 6.96 eV per formula unit; volume = 22.06 Å³ per atom; DOS at the Fermi energy = 7.78 states/eV/cell; space-group type = P4/mmm, No. 123
1.0
4.694 0.000 0.000
0.000 4.694 0.000
0.000 0.000 5.006
Fe Ag Os Br
2 1 1 1
Direct
0.000 0.500 0.000
0.500 0.000 0.000
0.000 0.000 0.500
0.500 0.500 0.000
0.500 0.500 0.500


19.
Mg2In2As, optimized geometry, DFT GGA-PBE; mass density = 4.81 g cm⁻³; distance to the lowest polymorph of the same formula = 132 meV per atom; volume = 24.39 Å³ per atom; DOS at the Fermi energy = 4.17 states/eV/cell; space-group type = P4/mbm, No. 127; energy of formation = 0.05 eV/atom
1.0
7.469 0.000 0.000
0.000 7.469 0.000
0.000 0.000 4.372
Mg In As
4 4 2
Direct
0.164 0.336 0.000
0.336 0.836 0.000
0.664 0.164 0.000
0.836 0.664 0.000
0.142 0.642 0.500
0.358 0.142 0.500
0.642 0.858 0.500
0.858 0.358 0.500
0.000 0.000 0.500
0.500 0.500 0.500


20.
Cs2SbF4, optimized geometry, DFT GGA-PBE; mass density = 4.35 g cm⁻³; E_form (uncorrected) = -15.76 eV per formula unit; volume = 25.30 Å³ per atom; DOS at the Fermi energy = 2.06 states/eV/cell; space-group type = I4/mmm, No. 139
1.0
-2.469 2.469 7.262
2.469 -2.469 7.262
2.469 2.469 -7.262
Cs Sb F
2 1 4
Direct
0.142 0.142 0.000
0.858 0.858 0.000
0.500 0.500 0.000
0.000 0.500 0.500
0.346 0.346 0.000
0.500 0.000 0.500
0.654 0.654 0.000